[1]
Material: ZrReNi
Method: DFT, GGA-PBE
State: optimized geometry

Unit cell a=4.169 b=4.169 c=3.332 alpha=90.00 beta=90.00 gamma=120.00
Element x y z (fractional)
1 Ni 0.000 0.000 0.167
2 Re 0.667 0.333 0.167
3 Zr 0.333 0.667 0.667

calculated volume = 16.71 A^3/atom
density = 11.1 g cm⁻³
formation energy = 13.8 kJ/mol of formula units
space-group type = P-6m2 (187)
energy above the most stable polymorph in this dataset = 63 kJ/mol of formula units

[2]
Material: ZrRe2Ni
Method: DFT, GGA-PBE
State: optimized geometry

Unit cell a=2.710 b=2.710 c=8.420 alpha=90.00 beta=90.00 gamma=90.00
Element x y z (fractional)
1 Re 0.000 0.000 0.537
2 Re 0.000 0.000 0.963
3 Zr 0.500 0.500 0.250
4 Ni 0.500 0.500 0.750

calculated volume = 15.46 A^3/atom
density = 14.0 g cm⁻³
formation energy = 55.5 kJ/mol of formula units
space-group type = P4/mmm (123)
energy above the most stable polymorph in this dataset = 75 kJ/mol of formula units

[3]
Material: Zr6ReNi5
Method: DFT, GGA-PBE
State: optimized geometry

Unit cell a=4.629 b=6.437 c=7.948 alpha=113.95 beta=108.35 gamma=89.57
Element x y z (fractional)
1 Ni 0.299 0.320 0.667
2 Ni 0.701 0.680 0.333
3 Ni 0.000 0.500 0.000
4 Ni 0.689 0.146 0.323
5 Ni 0.311 0.854 0.677
6 Zr 0.180 0.913 0.334
7 Zr 0.823 0.584 0.659
8 Zr 0.503 0.256 0.008
9 Zr 0.177 0.416 0.341
10 Zr 0.820 0.087 0.666
11 Zr 0.497 0.744 0.992
12 Re 0.000 0.000 0.000

calculated volume = 16.95 A^3/atom
density = 8.4 g cm⁻³
formation energy = -392.1 kJ/mol of formula units
space-group type = P-1 (2)

[4]
Material: ZrRe2Ni
Method: DFT, GGA-PBE
State: optimized geometry

Unit cell a=5.173 b=5.173 c=4.562 alpha=76.55 beta=76.55 gamma=31.86
Element x y z (fractional)
1 Re 0.971 0.971 0.025
2 Re 0.529 0.529 0.475
3 Ni 0.250 0.250 0.250
4 Zr 0.750 0.750 0.750

calculated volume = 15.63 A^3/atom
density = 13.9 g cm⁻³
formation energy = 10.0 kJ/mol of formula units
space-group type = C2/m (12)
energy above the most stable polymorph in this dataset = 30 kJ/mol of formula units

- Which formula does entry 4 have?
  ZrRe2Ni